No. 1
This record from Alexandria describes crystalline LaAlTlF2 at its relaxed geometry. The functional is PBE.

CIF file:
```
data_LaAlTlF2
_symmetry_space_group_name_H-M 'P 4/m m m'
_symmetry_Int_Tables_number 123
_symmetry_space_group_name_Hall '-P 4 2'
_cell_length_a 4.519
_cell_length_b 4.519
_cell_length_c 7.059
_cell_angle_alpha 90.00
_cell_angle_beta 90.00
_cell_angle_gamma 90.00
loop_
_atom_site_label
_atom_site_fract_x
_atom_site_fract_y
_atom_site_fract_z
_atom_site_occupancy
La1 0.000 0.000 0.000 1
Al1 0.500 0.500 0.500 1
Tl1 0.000 0.000 0.500 1
F1 0.000 0.500 0.000 1
```

Values from the calculation:
Its density is 4.7 Mg/m³. The uncorrected formation energy comes out at -1.87 eV per atom. The calculation puts the density of states at the Fermi level at 0.396 states/eV per atom.

---

No. 2
This record from Alexandria describes crystalline ZrAlCu4 at its relaxed geometry. The functional is PBE.

CIF file:
```
data_ZrAlCu4
_symmetry_space_group_name_H-M 'C m c m'
_symmetry_Int_Tables_number 63
_symmetry_space_group_name_Hall '-C 2c 2'
_cell_length_a 3.697
_cell_length_b 15.426
_cell_length_c 6.214
_cell_angle_alpha 90.00
_cell_angle_beta 90.00
_cell_angle_gamma 90.00
loop_
_atom_site_label
_atom_site_fract_x
_atom_site_fract_y
_atom_site_fract_z
_atom_site_occupancy
Zr1 0.000 0.110 0.250 1
Al1 0.000 0.238 0.750 1
Cu1 0.000 0.071 0.750 1
Cu2 0.000 0.340 0.056 1
Cu3 0.000 0.500 0.000 1
```

Values from the calculation:
As for the formation enthalpy at 0 K: -0.092 eV/atom. Its density is 7.0 Mg/m³. The calculation puts the density of states at the Fermi level at 0.680 states/eV per atom.

---

No. 3
This record from Alexandria describes crystalline BeNbSi at its relaxed geometry. The functional is PBE.

CIF file:
```
data_BeNbSi
_symmetry_space_group_name_H-M 'P -6 m 2'
_symmetry_Int_Tables_number 187
_symmetry_space_group_name_Hall 'P -6 2'
_cell_length_a 3.6911
_cell_length_b 3.6911
_cell_length_c 3.3282
_cell_angle_alpha 90.00
_cell_angle_beta 90.00
_cell_angle_gamma 120.00
loop_
_atom_site_label
_atom_site_fract_x
_atom_site_fract_y
_atom_site_fract_z
_atom_site_occupancy
Be1 0.0000 0.0000 0.0000 1
Nb1 0.3333 0.6667 0.5000 1
Si1 0.6667 0.3333 0.0000 1
```

Values from the calculation:
Its density is 5.5 Mg/m³. The uncorrected formation energy comes out at -0.43 eV per atom. The calculation puts the density of states at the Fermi level at 0.276 states/eV per atom.

---

No. 4
This record from Alexandria describes crystalline MgAlW2 at its relaxed geometry. The functional is PBE.

CIF file:
```
data_MgAlW2
_symmetry_space_group_name_H-M 'P 4 m m'
_symmetry_Int_Tables_number 99
_cell_length_a 2.736
_cell_length_b 2.736
_cell_length_c 8.997
_cell_angle_alpha 90.00
_cell_angle_beta 90.00
_cell_angle_gamma 90.00
loop_
_symmetry_equiv_pos_as_xyz
'x,y,z'
'-y,x,z'
'-x,-y,z'
'y,-x,z'
'-x,y,z'
'y,x,z'
'x,-y,z'
'-y,-x,z'
loop_
_atom_site_label
_atom_site_fract_x
_atom_site_fract_y
_atom_site_fract_z
_atom_site_occupancy
Mg1 0.000 0.000 0.000 1
Al1 0.500 0.500 0.732 1
W1 0.000 0.000 0.506 1
W2 0.500 0.500 0.253 1
```

Values from the calculation:
As for the formation enthalpy at 0 K: 0.291 eV/atom. Its density is 10.3 Mg/m³. The calculation puts the density of states at the Fermi level at 0.516 states/eV per atom.

---

No. 5
This record from Alexandria describes crystalline SrLiCa4 at its relaxed geometry. The functional is PBE.

CIF file:
```
data_SrLiCa4
_symmetry_space_group_name_H-M 'F -4 3 m'
_symmetry_Int_Tables_number 216
_symmetry_space_group_name_Hall 'F -4 2 3'
_cell_length_a 10.281
_cell_length_b 10.281
_cell_length_c 10.281
_cell_angle_alpha 90.00
_cell_angle_beta 90.00
_cell_angle_gamma 90.00
loop_
_atom_site_label
_atom_site_fract_x
_atom_site_fract_y
_atom_site_fract_z
_atom_site_occupancy
Sr1 0.000 0.000 0.000 1
Li1 0.250 0.250 0.250 1
Ca1 0.125 0.125 0.625 1
```

Values from the calculation:
As for the formation enthalpy at 0 K: 0.174 eV/atom. Its density is 1.6 Mg/m³. The calculation puts the density of states at the Fermi level at 0.952 states/eV per atom.

---

No. 6
This record from Alexandria describes crystalline Nd2PbAu at its relaxed geometry. The functional is PBE.

CIF file:
```
data_Nd2PbAu
_symmetry_space_group_name_H-M 'P 4/m m m'
_symmetry_Int_Tables_number 123
_symmetry_space_group_name_Hall '-P 4 2'
_cell_length_a 3.650
_cell_length_b 3.650
_cell_length_c 8.415
_cell_angle_alpha 90.00
_cell_angle_beta 90.00
_cell_angle_gamma 90.00
loop_
_atom_site_label
_atom_site_fract_x
_atom_site_fract_y
_atom_site_fract_z
_atom_site_occupancy
Nd1 0.000 0.000 0.225 1
Pb1 0.500 0.500 0.500 1
Au1 0.500 0.500 0.000 1
```

Values from the calculation:
As for the formation enthalpy at 0 K: -0.631 eV/atom. Its density is 10.3 Mg/m³. The calculation puts the density of states at the Fermi level at 0.921 states/eV per atom.

---

No. 7
This record from Alexandria describes crystalline NiSb3N at its relaxed geometry. The functional is PBE.

CIF file:
```
data_NiSb3N
_symmetry_space_group_name_H-M 'P m -3 m'
_symmetry_Int_Tables_number 221
_symmetry_space_group_name_Hall '-P 4 2 3'
_cell_length_a 4.652
_cell_length_b 4.652
_cell_length_c 4.652
_cell_angle_alpha 90.00
_cell_angle_beta 90.00
_cell_angle_gamma 90.00
loop_
_atom_site_label
_atom_site_fract_x
_atom_site_fract_y
_atom_site_fract_z
_atom_site_occupancy
Ni1 0.000 0.000 0.000 1
Sb1 0.000 0.500 0.500 1
N1 0.500 0.500 0.500 1
```

Values from the calculation:
Its density is 7.2 Mg/m³. The uncorrected formation energy comes out at 0.74 eV per atom. The calculation puts the density of states at the Fermi level at 0.253 states/eV per atom.

---

No. 8
This record from Alexandria describes crystalline Tb2Ho5Tm at its relaxed geometry. The functional is PBE.

CIF file:
```
data_Tb2Ho5Tm
_symmetry_space_group_name_H-M 'P -1'
_symmetry_Int_Tables_number 2
_cell_length_a 6.579
_cell_length_b 8.731
_cell_length_c 9.447
_cell_angle_alpha 88.27
_cell_angle_beta 85.41
_cell_angle_gamma 67.90
loop_
_symmetry_equiv_pos_as_xyz
'x,y,z'
'-x,-y,-z'
loop_
_atom_site_label
_atom_site_fract_x
_atom_site_fract_y
_atom_site_fract_z
_atom_site_occupancy
Tb1 0.128 0.110 0.074 1
Tb2 0.237 0.891 0.574 1
Ho1 0.159 0.681 0.250 1
Ho2 0.193 0.252 0.387 1
Ho3 0.202 0.486 0.909 1
Ho4 0.311 0.487 0.591 1
Ho5 0.444 0.748 0.887 1
Tm1 0.439 0.122 0.750 1
```

Values from the calculation:
As for the formation enthalpy at 0 K: 0.156 eV/atom. Its density is 8.7 Mg/m³. The calculation puts the density of states at the Fermi level at 1.340 states/eV per atom.

---

No. 9
This record from Alexandria describes crystalline LaCdN at its relaxed geometry. The functional is PBE.

CIF file:
```
data_LaCdN
_symmetry_space_group_name_H-M 'I 4/m m m'
_symmetry_Int_Tables_number 139
_symmetry_space_group_name_Hall '-I 4 2'
_cell_length_a 3.621
_cell_length_b 3.621
_cell_length_c 22.249
_cell_angle_alpha 90.00
_cell_angle_beta 90.00
_cell_angle_gamma 90.00
loop_
_atom_site_label
_atom_site_fract_x
_atom_site_fract_y
_atom_site_fract_z
_atom_site_occupancy
La1 0.000 0.000 0.191 1
Cd1 0.000 0.000 0.433 1
N1 0.000 0.000 0.296 1
```

Values from the calculation:
Its density is 6.0 Mg/m³. The uncorrected formation energy comes out at -0.72 eV per atom. The calculation puts the density of states at the Fermi level at 0.270 states/eV per atom.

---

No. 10
This record from Alexandria describes crystalline KMg2ReRh at its relaxed geometry. The functional is PBE.

CIF file:
```
data_KMg2ReRh
_symmetry_space_group_name_H-M 'P 4/m m m'
_symmetry_Int_Tables_number 123
_symmetry_space_group_name_Hall '-P 4 2'
_cell_length_a 4.803
_cell_length_b 4.803
_cell_length_c 4.561
_cell_angle_alpha 90.00
_cell_angle_beta 90.00
_cell_angle_gamma 90.00
loop_
_atom_site_label
_atom_site_fract_x
_atom_site_fract_y
_atom_site_fract_z
_atom_site_occupancy
K1 0.000 0.000 0.000 1
Mg1 0.000 0.500 0.000 1
Re1 0.000 0.000 0.500 1
Rh1 0.500 0.500 0.500 1
```

Values from the calculation:
As for the formation enthalpy at 0 K: 2.391 eV/atom. Its density is 5.9 Mg/m³. The calculation puts the density of states at the Fermi level at 0.839 states/eV per atom.

---

No. 11
This record from Alexandria describes crystalline MgNi3H at its relaxed geometry. The functional is PBE.

CIF file:
```
data_MgNi3H
_symmetry_space_group_name_H-M 'C 1 2/c 1'
_symmetry_Int_Tables_number 15
_cell_length_a 10.428
_cell_length_b 9.306
_cell_length_c 4.296
_cell_angle_alpha 90.00
_cell_angle_beta 90.15
_cell_angle_gamma 90.00
loop_
_symmetry_equiv_pos_as_xyz
'x,y,z'
'-x,-y,-z'
'-x,y,-z+1/2'
'x,-y,z+1/2'
'x+1/2,y+1/2,z'
'-x+1/2,-y+1/2,-z'
'-x+1/2,y+1/2,-z+1/2'
'x+1/2,-y+1/2,z+1/2'
loop_
_atom_site_label
_atom_site_fract_x
_atom_site_fract_y
_atom_site_fract_z
_atom_site_occupancy
Mg1 0.000 0.158 0.250 1
Mg2 0.000 0.342 0.750 1
Ni1 0.128 0.075 0.742 1
Ni2 0.128 0.425 0.260 1
Ni3 0.250 0.169 0.267 1
H1 0.250 0.163 0.880 1
```

Values from the calculation:
Its density is 6.4 Mg/m³. The calculation puts the density of states at the Fermi level at 0.757 states/eV per atom.

---

No. 12
This record from Alexandria describes crystalline Dy4ScSb5 at its relaxed geometry. The functional is PBE.

CIF file:
```
data_Dy4ScSb5
_symmetry_space_group_name_H-M 'I 4/m'
_symmetry_Int_Tables_number 87
_symmetry_space_group_name_Hall '-I 4'
_cell_length_a 9.709
_cell_length_b 9.709
_cell_length_c 6.156
_cell_angle_alpha 90.00
_cell_angle_beta 90.00
_cell_angle_gamma 90.00
loop_
_atom_site_label
_atom_site_fract_x
_atom_site_fract_y
_atom_site_fract_z
_atom_site_occupancy
Dy1 0.097 0.699 0.000 1
Sc1 0.000 0.000 0.500 1
Sb1 0.000 0.000 0.000 1
Sb2 0.098 0.708 0.500 1
```

Values from the calculation:
Its density is 7.5 Mg/m³. The uncorrected formation energy comes out at -1.08 eV per atom. The calculation puts the density of states at the Fermi level at 0.170 states/eV per atom.

---

Per-record calculated total energy, eV/atom: -4.83, -4.87, -6.83, -7.52, -1.76, -4.76, -4.56, -4.42, -5.44, -2.43, -4.50, -5.62